# PBE-GGA HoCd2Sb, optimized geometry
# DFT total energy, eV/atom: -3.08
# Total magnetization, μB/f.u.: 0.00
data_HoCd2Sb
_chemical_formula_sum 'Ho1 Cd2 Sb1'
_space_group_name_H-M_alt 'P 4/m m m'
_space_group_IT_number 123
_space_group_name_Hall '-P 4 2'
_cell_length_a 4.4004
_cell_length_b 4.4004
_cell_length_c 5.0922
_cell_angle_alpha 90.00
_cell_angle_beta 90.00
_cell_angle_gamma 90.00
loop_
_atom_site_label
_atom_site_type_symbol
_atom_site_fract_x
_atom_site_fract_y
_atom_site_fract_z
_atom_site_occupancy
Ho1 Ho 0.0000 0.0000 0.0000 1
Cd1 Cd 0.0000 0.5000 0.5000 1
Sb1 Sb 0.5000 0.5000 0.0000 1

---

# PBE-GGA AcSm3Y7, optimized geometry
# Total magnetization, μB/f.u.: 0.00
# E above lowest polymorph, eV per atom: 0.000
# Formation energy from the elements, meV/atom: 205
data_AcSm3Y7
_chemical_formula_sum 'Ac1 Sm3 Y7'
_space_group_name_H-M_alt 'P 3 m 1'
_space_group_IT_number 156
_cell_length_a 7.1752
_cell_length_b 7.1752
_cell_length_c 8.7920
_cell_angle_alpha 90.00
_cell_angle_beta 90.00
_cell_angle_gamma 120.00
loop_
_space_group_symop_operation_xyz
'x,y,z'
'-y,x-y,z'
'-x+y,-x,z'
'-y,-x,z'
'-x+y,y,z'
'x,x-y,z'
loop_
_atom_site_label
_atom_site_type_symbol
_atom_site_fract_x
_atom_site_fract_y
_atom_site_fract_z
_atom_site_occupancy
Ac1 Ac 0.0000 0.0000 0.0000 1
Sm1 Sm 0.1679 0.3359 0.6606 1
Y1 Y 0.0019 0.5010 0.0005 1
Y2 Y 0.3333 0.6667 0.3288 1
Y3 Y 0.3340 0.1670 0.3325 1

---

# PBE-GGA MgSc3Bi, optimized geometry
# Total magnetization, μB/f.u.: 0.00
# E above lowest polymorph, eV per atom: 0.000
# Formation energy from the elements, meV/atom: 372
data_MgSc3Bi
_chemical_formula_sum 'Mg1 Sc3 Bi1'
_space_group_name_H-M_alt 'P m -3 m'
_space_group_IT_number 221
_space_group_name_Hall '-P 4 2 3'
_cell_length_a 5.4698
_cell_length_b 5.4698
_cell_length_c 5.4698
_cell_angle_alpha 90.00
_cell_angle_beta 90.00
_cell_angle_gamma 90.00
loop_
_atom_site_label
_atom_site_type_symbol
_atom_site_fract_x
_atom_site_fract_y
_atom_site_fract_z
_atom_site_occupancy
Mg1 Mg 0.0000 0.0000 0.0000 1
Sc1 Sc 0.0000 0.5000 0.5000 1
Bi1 Bi 0.5000 0.5000 0.5000 1

---

# PBE-GGA Ca2NdTl3, optimized geometry
# Total magnetization, μB/f.u.: 0.00
# Formation energy from the elements, meV/atom: -421
data_Ca2NdTl3
_chemical_formula_sum 'Ca2 Nd1 Tl3'
_space_group_name_H-M_alt 'P 4/m m m'
_space_group_IT_number 123
_space_group_name_Hall '-P 4 2'
_cell_length_a 3.8638
_cell_length_b 3.8638
_cell_length_c 11.8518
_cell_angle_alpha 90.00
_cell_angle_beta 90.00
_cell_angle_gamma 90.00
loop_
_atom_site_label
_atom_site_type_symbol
_atom_site_fract_x
_atom_site_fract_y
_atom_site_fract_z
_atom_site_occupancy
Ca1 Ca 0.0000 0.0000 0.1631 1
Nd1 Nd 0.0000 0.0000 0.5000 1
Tl1 Tl 0.5000 0.5000 0.0000 1
Tl2 Tl 0.5000 0.5000 0.3304 1

---

# PBE-GGA BaB2Cl, optimized geometry
# Total magnetization, μB/f.u.: 0.00
# E above lowest polymorph, eV per atom: 0.000
data_BaB2Cl
_chemical_formula_sum 'Ba4 B8 Cl4'
_space_group_name_H-M_alt 'I -4 2 d'
_space_group_IT_number 122
_space_group_name_Hall 'I -4 2bw'
_cell_length_a 8.0234
_cell_length_b 8.0234
_cell_length_c 5.8090
_cell_angle_alpha 90.00
_cell_angle_beta 90.00
_cell_angle_gamma 90.00
loop_
_atom_site_label
_atom_site_type_symbol
_atom_site_fract_x
_atom_site_fract_y
_atom_site_fract_z
_atom_site_occupancy
Ba1 Ba 0.0000 0.0000 0.0000 1
B1 B 0.2197 0.2500 0.6250 1
Cl1 Cl 0.0000 0.0000 0.5000 1

---

# PBE-GGA KY2ScMn, optimized geometry
# Total magnetization, μB/f.u.: 4.62
# Formation energy from the elements, meV/atom: 1519
data_KY2ScMn
_chemical_formula_sum 'K1 Y2 Sc1 Mn1'
_space_group_name_H-M_alt 'P 4/m m m'
_space_group_IT_number 123
_space_group_name_Hall '-P 4 2'
_cell_length_a 5.3586
_cell_length_b 5.3586
_cell_length_c 4.9938
_cell_angle_alpha 90.00
_cell_angle_beta 90.00
_cell_angle_gamma 90.00
loop_
_atom_site_label
_atom_site_type_symbol
_atom_site_fract_x
_atom_site_fract_y
_atom_site_fract_z
_atom_site_occupancy
K1 K 0.0000 0.0000 0.0000 1
Y1 Y 0.0000 0.5000 0.0000 1
Sc1 Sc 0.0000 0.0000 0.5000 1
Mn1 Mn 0.5000 0.5000 0.5000 1

---

# PBE-GGA LiPr2Sm2Au4, optimized geometry
# Total magnetization, μB/f.u.: 0.00
# Formation energy from the elements, meV/atom: -523
data_LiPr2Sm2Au4
_chemical_formula_sum 'Li2 Pr4 Sm4 Au8'
_space_group_name_H-M_alt 'I 4/m m m'
_space_group_IT_number 139
_space_group_name_Hall '-I 4 2'
_cell_length_a 7.1666
_cell_length_b 7.1666
_cell_length_c 8.6048
_cell_angle_alpha 90.00
_cell_angle_beta 90.00
_cell_angle_gamma 90.00
loop_
_atom_site_label
_atom_site_type_symbol
_atom_site_fract_x
_atom_site_fract_y
_atom_site_fract_z
_atom_site_occupancy
Li1 Li 0.0000 0.0000 0.0000 1
Pr1 Pr 0.0000 0.5000 0.2500 1
Sm1 Sm 0.0000 0.0000 0.3123 1
Au1 Au 0.2460 0.2460 0.0000 1

---

# PBE-GGA Rb4Au2I, optimized geometry
# Total magnetization, μB/f.u.: 0.00
# E above lowest polymorph, eV per atom: 0.057
data_Rb4Au2I
_chemical_formula_sum 'Rb8 Au4 I2'
_space_group_name_H-M_alt 'I 4/m m m'
_space_group_IT_number 139
_space_group_name_Hall '-I 4 2'
_cell_length_a 6.9361
_cell_length_b 6.9361
_cell_length_c 16.9246
_cell_angle_alpha 90.00
_cell_angle_beta 90.00
_cell_angle_gamma 90.00
loop_
_atom_site_label
_atom_site_type_symbol
_atom_site_fract_x
_atom_site_fract_y
_atom_site_fract_z
_atom_site_occupancy
Rb1 Rb 0.0000 0.0000 0.2161 1
Rb2 Rb 0.0000 0.5000 0.0000 1
Au1 Au 0.0000 0.0000 0.4165 1
I1 I 0.0000 0.0000 0.0000 1